Pm12TmTh5 | PBE | relaxed

Cell: 6.2757 6.2757 17.8248 Å, 93.37 93.37 120.00°
Closest atoms and distances in Å follow each position.
Atoms (fractional coordinates):
1 Pm 0.0534 0.3886 0.1616  2 Th 3.54, 1 Tm 3.55, 9 Pm 3.61-3.76
2 Pm 0.1127 0.1127 0.3370  3 Th 3.56, 9 Pm 3.62-3.75
3 Pm 0.2201 0.5539 0.6615  3 Th 3.54, 9 Pm 3.62-3.76
4 Pm 0.2815 0.2815 0.8383  2 Th 3.54, 1 Tm 3.55, 9 Pm 3.61-3.76
5 Pm 0.3886 0.0534 0.1616  2 Th 3.54, 1 Tm 3.55, 9 Pm 3.61-3.76
6 Pm 0.4461 0.7799 0.3385  3 Th 3.54, 9 Pm 3.62-3.76
7 Pm 0.5539 0.2201 0.6615  3 Th 3.54, 9 Pm 3.62-3.76
8 Pm 0.6114 0.9466 0.8384  2 Th 3.54, 1 Tm 3.55, 9 Pm 3.61-3.76
9 Pm 0.7185 0.7185 0.1617  2 Th 3.54, 1 Tm 3.55, 9 Pm 3.61-3.76
10 Pm 0.7799 0.4461 0.3385  3 Th 3.54, 9 Pm 3.62-3.76
11 Pm 0.8873 0.8873 0.6630  3 Th 3.56, 9 Pm 3.62-3.75
12 Pm 0.9466 0.6114 0.8384  2 Th 3.54, 1 Tm 3.55, 9 Pm 3.61-3.76
13 Tm 0.0000 0.0000 0.0000  6 Pm 3.55, 6 Th 3.62
14 Th 0.1662 0.8338 0.5000  6 Pm 3.54-3.56, 6 Th 3.61-3.63
15 Th 0.3334 0.6666 0.0000  6 Pm 3.54, 3 Th 3.62, 3 Tm 3.62
16 Th 0.5000 0.5000 0.5000  6 Pm 3.54-3.56, 6 Th 3.62-3.63
17 Th 0.6666 0.3334 0.0000  6 Pm 3.54, 3 Th 3.62, 3 Tm 3.62
18 Th 0.8338 0.1662 0.5000  6 Pm 3.54-3.56, 6 Th 3.61-3.63

Computed properties:
Electronic total energy in eV for the cell shown: -98.13
Spin magnetization in μB/f.u.: 0.00
ΔH_f (0 K) in eV per atom: 0.025
Fermi-level density of states in states/eV/f.u.: 25.649